HoMnPtO4 (GGA+U, optimized geometry); V = 194 Å³ per cell; total DFT energy (no corrections) = -7.210 eV/atom
1.0
6.029 0.000 0.000
-3.015 5.724 -0.674
0.000 -3.689 6.067
O Pt Ho Mn
8 2 2 2
Direct
0.613 0.797 0.149
0.387 0.203 0.851
0.745 0.491 0.686
0.184 0.797 0.149
0.816 0.203 0.851
0.255 0.509 0.695
0.255 0.509 0.314
0.745 0.491 0.305
0.500 0.500 0.500
0.000 0.500 0.500
0.500 0.000 0.500
0.500 0.000 0.000
0.780 0.560 0.030
0.220 0.440 0.970